1.
# SrLu2Zn (PBE, optimized geometry)
data_SrLu2Zn
_cell_length_a 3.6054
_cell_length_b 3.6054
_cell_length_c 33.5249
_cell_angle_alpha 90.00
_cell_angle_beta 90.00
_cell_angle_gamma 120.00
_space_group_name_H-M_alt 'R -3 m'
_space_group_IT_number 166
_space_group_name_Hall '-R 3 2"'
loop_
_atom_site_label
_atom_site_fract_x
_atom_site_fract_y
_atom_site_fract_z
_atom_site_occupancy
Sr1 0.0000 0.0000 0.0000 1
Lu1 0.0000 0.0000 0.1051 1
Zn1 0.0000 0.0000 0.5000 1
# Raw total energy, Ha/atom: -0.10329
# Calculated formation energy, meV per atom: 189
# Distance to the lowest polymorph of the same formula, kJ/mol of formula units: 88.9

***

2.
# HfTiV2 (PBE, optimized geometry)
data_HfTiV2
_cell_length_a 4.525
_cell_length_b 4.525
_cell_length_c 3.265
_cell_angle_alpha 90.00
_cell_angle_beta 90.00
_cell_angle_gamma 90.00
_space_group_name_H-M_alt 'P 4/m m m'
_space_group_IT_number 123
_space_group_name_Hall '-P 4 2'
loop_
_atom_site_label
_atom_site_fract_x
_atom_site_fract_y
_atom_site_fract_z
_atom_site_occupancy
Hf1 0.000 0.000 0.000 1
Ti1 0.500 0.500 0.000 1
V1 0.000 0.500 0.500 1
# Raw total energy, Ha/atom: -0.32460
# Calculated formation energy, meV per atom: 189
# Distance to the lowest polymorph of the same formula, kJ/mol of formula units: 24.9

***

3.
# Ac3Sc2Tl3 (PBE, optimized geometry)
data_Ac3Sc2Tl3
_cell_length_a 9.5461
_cell_length_b 9.5461
_cell_length_c 6.5480
_cell_angle_alpha 90.00
_cell_angle_beta 90.00
_cell_angle_gamma 120.00
_space_group_name_H-M_alt 'P 63/m c m'
_space_group_IT_number 193
_space_group_name_Hall '-P 6c 2'
loop_
_atom_site_label
_atom_site_fract_x
_atom_site_fract_y
_atom_site_fract_z
_atom_site_occupancy
Ac1 0.0000 0.2483 0.2500 1
Sc1 0.3333 0.6667 0.0000 1
Tl1 0.0000 0.4078 0.7500 1
# Raw total energy, Ha/atom: -0.15574
# Calculated formation energy, meV per atom: -227

***

4.
# TbAsPdAu (PBE, optimized geometry)
data_TbAsPdAu
_cell_length_a 6.797
_cell_length_b 6.797
_cell_length_c 6.797
_cell_angle_alpha 90.00
_cell_angle_beta 90.00
_cell_angle_gamma 90.00
_space_group_name_H-M_alt 'F -4 3 m'
_space_group_IT_number 216
_space_group_name_Hall 'F -4 2 3'
loop_
_atom_site_label
_atom_site_fract_x
_atom_site_fract_y
_atom_site_fract_z
_atom_site_occupancy
Tb1 0.000 0.000 0.000 1
As1 0.250 0.250 0.750 1
Pd1 0.000 0.000 0.500 1
Au1 0.250 0.250 0.250 1
# Raw total energy, Ha/atom: -0.18819
# Calculated formation energy, meV per atom: -684

***

5.
# RbCd2AgHg4 (PBE, optimized geometry)
data_RbCd2AgHg4
_cell_length_a 4.8849
_cell_length_b 4.8849
_cell_length_c 33.1094
_cell_angle_alpha 90.00
_cell_angle_beta 90.00
_cell_angle_gamma 120.00
_space_group_name_H-M_alt 'R -3 m'
_space_group_IT_number 166
_space_group_name_Hall '-R 3 2"'
loop_
_atom_site_label
_atom_site_fract_x
_atom_site_fract_y
_atom_site_fract_z
_atom_site_occupancy
Rb1 0.0000 0.0000 0.0000 1
Cd1 0.0000 0.0000 0.2326 1
Ag1 0.0000 0.0000 0.5000 1
Hg1 0.0000 0.0000 0.1354 1
Hg2 0.0000 0.0000 0.4019 1
# Raw total energy, Ha/atom: -0.03336
# Calculated formation energy, meV per atom: -51

***

6.
# Mn3BeTl (PBE, optimized geometry)
data_Mn3BeTl
_cell_length_a 4.219
_cell_length_b 4.219
_cell_length_c 4.219
_cell_angle_alpha 90.00
_cell_angle_beta 90.00
_cell_angle_gamma 90.00
_space_group_name_H-M_alt 'P m -3 m'
_space_group_IT_number 221
_space_group_name_Hall '-P 4 2 3'
loop_
_atom_site_label
_atom_site_fract_x
_atom_site_fract_y
_atom_site_fract_z
_atom_site_occupancy
Mn1 0.000 0.000 0.500 1
Be1 0.000 0.000 0.000 1
Tl1 0.500 0.500 0.500 1
# Raw total energy, Ha/atom: -0.22891
# Calculated formation energy, meV per atom: 491
# Distance to the lowest polymorph of the same formula, kJ/mol of formula units: 0.0

***

7.
# Sc3Se2O2 (PBE, optimized geometry)
data_Sc3Se2O2
_cell_length_a 12.317
_cell_length_b 3.601
_cell_length_c 6.070
_cell_angle_alpha 90.00
_cell_angle_beta 115.20
_cell_angle_gamma 90.00
_space_group_name_H-M_alt 'C 1 2/m 1'
_space_group_IT_number 12
loop_
_space_group_symop_operation_xyz
'x,y,z'
'-x,-y,-z'
'-x,y,-z'
'x,-y,z'
'x+1/2,y+1/2,z'
'-x+1/2,-y+1/2,-z'
'-x+1/2,y+1/2,-z'
'x+1/2,-y+1/2,z'
loop_
_atom_site_label
_atom_site_fract_x
_atom_site_fract_y
_atom_site_fract_z
_atom_site_occupancy
Sc1 0.000 0.000 0.000 1
Sc2 0.244 0.000 0.711 1
Se1 0.096 0.500 0.802 1
O1 0.172 0.000 0.326 1
# Raw total energy, Ha/atom: -0.28085
# Uncorrected formation energy, eV/atom: -2.517
# Distance to the lowest polymorph of the same formula, kJ/mol of formula units: 0.0

***

8.
# Pm7HoTm4 (PBE, optimized geometry)
data_Pm7HoTm4
_cell_length_a 5.6691
_cell_length_b 5.6691
_cell_length_c 14.0063
_cell_angle_alpha 90.00
_cell_angle_beta 90.00
_cell_angle_gamma 120.00
_space_group_name_H-M_alt 'P -3 m 1'
_space_group_IT_number 164
_space_group_name_Hall '-P 3 2"'
loop_
_atom_site_label
_atom_site_fract_x
_atom_site_fract_y
_atom_site_fract_z
_atom_site_occupancy
Pm1 0.0000 0.0000 0.0000 1
Pm2 0.0000 0.0000 0.2508 1
Pm3 0.3333 0.6667 0.1271 1
Pm4 0.3333 0.6667 0.3765 1
Ho1 0.0000 0.0000 0.5000 1
Tm1 0.3333 0.6667 0.6229 1
Tm2 0.3333 0.6667 0.8760 1
# Raw total energy, Ha/atom: -0.16823
# Calculated formation energy, meV per atom: 65
# Distance to the lowest polymorph of the same formula, kJ/mol of formula units: 72.6

***

Total moment? In order: 0.00 3.08 0.00 0.00 0.00 8.95 0.00 0.00 μB/f.u..